No. 1
La2TiGe4Pt3 | GGA-PBE | relaxed Values from VASP.

Structure (Quantum ESPRESSO input):
```
&SYSTEM
  ibrav = 0, nat = 10, ntyp = 4
/
ATOMIC_SPECIES
La 138.91 La.upf
Ti 47.87 Ti.upf
Ge 72.64 Ge.upf
Pt 195.08 Pt.upf
CELL_PARAMETERS angstrom
4.306 0.000 0.000
0.000 4.306 0.000
0.000 0.000 10.786
ATOMIC_POSITIONS crystal
La 0.000 0.500 0.242
La 0.500 0.000 0.758
Ti 0.000 0.000 0.500
Ge 0.000 0.000 0.000
Ge 0.000 0.500 0.638
Ge 0.500 0.000 0.362
Ge 0.500 0.500 0.000
Pt 0.000 0.500 0.875
Pt 0.500 0.000 0.125
Pt 0.500 0.500 0.500
```

- calculated formation energy (eV/atom) = -0.9506
- size of the total moment (μB per cell) = 0.0
- Fermi-level density of states (states/eV/f.u.) = 4.40
- volume (A^3/atom) = 20.00
- crystal system = tetragonal

***

No. 2
LiSe2Cl | GGA-PBE | relaxed Values from VASP.

Structure (Quantum ESPRESSO input):
```
&SYSTEM
  ibrav = 0, nat = 4, ntyp = 3
/
ATOMIC_SPECIES
Li 6.94 Li.upf
Se 78.96 Se.upf
Cl 35.45 Cl.upf
CELL_PARAMETERS angstrom
0.000 3.444 3.444
3.444 0.000 3.444
3.444 3.444 0.000
ATOMIC_POSITIONS crystal
Li 0.000 0.000 0.000
Se 0.250 0.250 0.250
Se 0.750 0.750 0.750
Cl 0.500 0.500 0.500
```

- size of the total moment (μB per cell) = 0.0
- Fermi-level density of states (states/eV/f.u.) = 4.68
- volume (A^3/atom) = 20.43
- crystal system = cubic
- formation energy (no corrections) (eV/atom) = 0.213

***

No. 3
TiCo3S | GGA-PBE | relaxed Values from VASP.

Structure (Quantum ESPRESSO input):
```
&SYSTEM
  ibrav = 0, nat = 5, ntyp = 3
/
ATOMIC_SPECIES
Ti 47.87 Ti.upf
Co 58.93 Co.upf
S 32.06 S.upf
CELL_PARAMETERS angstrom
4.334 0.000 0.000
0.000 4.334 0.000
0.000 0.000 4.334
ATOMIC_POSITIONS crystal
Ti 0.000 0.000 0.000
Co 0.000 0.000 0.500
Co 0.000 0.500 0.000
Co 0.500 0.000 0.000
S 0.500 0.500 0.500
```

- size of the total moment (μB per cell) = 2.7
- Fermi-level density of states (states/eV/f.u.) = 5.83
- volume (A^3/atom) = 16.28
- crystal system = cubic
- formation energy (no corrections) (eV/atom) = 1.293

***

No. 4
Er4SiHS2 | GGA-PBE | relaxed Values from VASP.

Structure (Quantum ESPRESSO input):
```
&SYSTEM
  ibrav = 0, nat = 8, ntyp = 4
/
ATOMIC_SPECIES
Er 167.26 Er.upf
Si 28.09 Si.upf
H 1.01 H.upf
S 32.06 S.upf
CELL_PARAMETERS angstrom
0.000 5.512 3.887
3.860 0.000 3.887
3.860 5.512 0.000
ATOMIC_POSITIONS crystal
Er 0.027 0.495 0.973
Er 0.247 0.753 0.247
Er 0.495 0.027 0.505
Er 0.753 0.247 0.753
Si 0.994 0.994 0.006
H 0.458 0.458 0.542
S 0.251 0.251 0.249
S 0.751 0.751 0.749
```

- final energy (Ha/atom) = -0.207
- size of the total moment (μB per cell) = 0.0
- Fermi-level density of states (states/eV/f.u.) = 3.62
- volume (A^3/atom) = 20.68
- crystal system = orthorhombic

***

No. 5
Hf2BeGa | GGA-PBE | relaxed Values from VASP.

Structure (Quantum ESPRESSO input):
```
&SYSTEM
  ibrav = 0, nat = 8, ntyp = 3
/
ATOMIC_SPECIES
Hf 178.49 Hf.upf
Be 9.01 Be.upf
Ga 69.72 Ga.upf
CELL_PARAMETERS angstrom
-3.576 3.576 2.845
3.576 -3.576 2.845
3.576 3.576 -2.845
ATOMIC_POSITIONS crystal
Hf 0.104 0.125 0.479
Hf 0.375 0.896 0.021
Hf 0.646 0.625 0.521
Hf 0.875 0.354 0.979
Be 0.000 0.000 0.000
Be 0.750 0.250 0.500
Ga 0.250 0.750 0.500
Ga 0.500 0.500 0.000
```

- calculated formation energy (eV/atom) = 0.1965
- size of the total moment (μB per cell) = 0.0
- Fermi-level density of states (states/eV/f.u.) = 3.16
- volume (A^3/atom) = 18.19
- crystal system = tetragonal

***

No. 6
Nd6HgP2Br3 | GGA-PBE | relaxed Values from VASP.

Structure (Quantum ESPRESSO input):
```
&SYSTEM
  ibrav = 0, nat = 12, ntyp = 4
/
ATOMIC_SPECIES
Nd 144.24 Nd.upf
Hg 200.59 Hg.upf
P 30.97 P.upf
Br 79.90 Br.upf
CELL_PARAMETERS angstrom
9.562 -2.085 0.000
9.562 2.085 0.000
-2.391 0.000 8.607
ATOMIC_POSITIONS crystal
Nd 0.014 0.014 0.251
Nd 0.323 0.323 0.442
Nd 0.335 0.335 0.880
Nd 0.665 0.665 0.120
Nd 0.677 0.677 0.558
Nd 0.986 0.986 0.749
Hg 0.500 0.500 0.000
P 0.169 0.169 0.338
P 0.831 0.831 0.662
Br 0.166 0.166 0.831
Br 0.500 0.500 0.500
Br 0.834 0.834 0.169
```

- size of the total moment (μB per cell) = 0.0
- Fermi-level density of states (states/eV/f.u.) = 7.43
- volume (A^3/atom) = 28.60
- crystal system = monoclinic
- formation energy (no corrections) (eV/atom) = -1.234